1.
A relaxed structure of RbCuS5, computed with PBE.

Computed properties:
For the density of states at the Fermi level, the calculation gives 8.2 states/eV per cell. As for the crystal system: monoclinic. The formation energy (no corrections) is -15 kJ/mol of atoms. The calculation puts the volume at 24.6 Å³ per atom.

CIF file:
```
data_RbCuS5
_chemical_formula_sum 'Rb4 Cu4 S20'
_space_group_name_H-M_alt 'C 1 2/c 1'
_space_group_IT_number 15
_space_group_name_Hall '-C 2yc'
_cell_length_a 7.017
_cell_length_b 9.729
_cell_length_c 10.335
_cell_angle_alpha 90.00
_cell_angle_beta 102.48
_cell_angle_gamma 90.00
loop_
_atom_site_label
_atom_site_type_symbol
_atom_site_fract_x
_atom_site_fract_y
_atom_site_fract_z
Rb1 Rb 0.000 0.021 0.250
Cu1 Cu 0.000 0.500 0.000
S1 S 0.000 0.314 0.750
S2 S 0.089 0.355 0.341
S3 S 0.224 0.345 0.948
```

---

2.
A relaxed structure of RbCuS2, computed with PBE.

Computed properties:
For the density of states at the Fermi level, the calculation gives 27.8 states/eV per cell. As for the crystal system: cubic. The formation energy (no corrections) is 37 kJ/mol of atoms. The calculation puts the volume at 21.6 Å³ per atom.

CIF file:
```
data_RbCuS2
_chemical_formula_sum 'Rb4 Cu4 S8'
_space_group_name_H-M_alt 'F m -3 m'
_space_group_IT_number 225
_space_group_name_Hall '-F 4 2 3'
_cell_length_a 7.021
_cell_length_b 7.021
_cell_length_c 7.021
_cell_angle_alpha 90.00
_cell_angle_beta 90.00
_cell_angle_gamma 90.00
loop_
_atom_site_label
_atom_site_type_symbol
_atom_site_fract_x
_atom_site_fract_y
_atom_site_fract_z
Rb1 Rb 0.000 0.000 0.000
Cu1 Cu 0.000 0.000 0.500
S1 S 0.250 0.250 0.250
```

---

3.
A relaxed structure of RbCu12S6, computed with PBE.

Computed properties:
For the density of states at the Fermi level, the calculation gives 12.7 states/eV per cell. As for the crystal system: trigonal. The formation energy (no corrections) is -18 kJ/mol of atoms. The calculation puts the volume at 17.2 Å³ per atom.

CIF file:
```
data_RbCu12S6
_chemical_formula_sum 'Rb3 Cu36 S18'
_space_group_name_H-M_alt 'R -3 m'
_space_group_IT_number 166
_space_group_name_Hall '-R 3 2"'
_cell_length_a 10.2698
_cell_length_b 10.2698
_cell_length_c 10.7512
_cell_angle_alpha 90.00
_cell_angle_beta 90.00
_cell_angle_gamma 120.00
loop_
_atom_site_label
_atom_site_type_symbol
_atom_site_fract_x
_atom_site_fract_y
_atom_site_fract_z
Rb1 Rb 0.0000 0.0000 0.0000
Cu1 Cu 0.0000 0.2556 0.5000
Cu2 Cu 0.0938 0.1876 0.3013
S1 S 0.0522 0.5261 0.3406
```

---

4.
A relaxed structure of RbCu3S2, computed with PBE.

Computed properties:
For the density of states at the Fermi level, the calculation gives 0.1 states/eV per cell. As for the crystal system: monoclinic. The formation energy (no corrections) is -44 kJ/mol of atoms. The calculation puts the volume at 19.1 Å³ per atom.

CIF file:
```
data_RbCu3S2
_chemical_formula_sum 'Rb4 Cu12 S8'
_space_group_name_H-M_alt 'C 1 2/m 1'
_space_group_IT_number 12
_space_group_name_Hall '-C 2y'
_cell_length_a 14.686
_cell_length_b 3.929
_cell_length_c 8.572
_cell_angle_alpha 90.00
_cell_angle_beta 112.24
_cell_angle_gamma 90.00
loop_
_atom_site_label
_atom_site_type_symbol
_atom_site_fract_x
_atom_site_fract_y
_atom_site_fract_z
Rb1 Rb 0.136 0.000 0.043
Cu1 Cu 0.065 0.000 0.411
Cu2 Cu 0.092 0.500 0.633
Cu3 Cu 0.190 0.500 0.418
S1 S 0.025 0.500 0.249
S2 S 0.189 0.000 0.681
```

---

5.
A relaxed structure of Rb2CuS2, computed with PBE.

Computed properties:
For the density of states at the Fermi level, the calculation gives 13.6 states/eV per cell. As for the crystal system: orthorhombic. The formation energy (no corrections) is -71 kJ/mol of atoms. The calculation puts the volume at 29.7 Å³ per atom.

CIF file:
```
data_Rb2CuS2
_chemical_formula_sum 'Rb8 Cu4 S8'
_space_group_name_H-M_alt 'C m c 21'
_space_group_IT_number 36
_space_group_name_Hall 'C 2c -2'
_cell_length_a 3.869
_cell_length_b 21.616
_cell_length_c 7.109
_cell_angle_alpha 90.00
_cell_angle_beta 90.00
_cell_angle_gamma 90.00
loop_
_atom_site_label
_atom_site_type_symbol
_atom_site_fract_x
_atom_site_fract_y
_atom_site_fract_z
Rb1 Rb 0.000 0.036 0.000
Rb2 Rb 0.000 0.201 0.760
Cu1 Cu 0.000 0.365 0.880
S1 S 0.000 0.169 0.253
S2 S 0.000 0.420 0.137
```

---

6.
A relaxed structure of RbCu4S3, computed with PBE.

Computed properties:
For the density of states at the Fermi level, the calculation gives 5.8 states/eV per cell. As for the crystal system: tetragonal. The formation energy (no corrections) is -39 kJ/mol of atoms. The calculation puts the volume at 18.4 Å³ per atom.

CIF file:
```
data_RbCu4S3
_chemical_formula_sum 'Rb1 Cu4 S3'
_space_group_name_H-M_alt 'P 4/m m m'
_space_group_IT_number 123
_space_group_name_Hall '-P 4 2'
_cell_length_a 3.931
_cell_length_b 3.931
_cell_length_c 9.505
_cell_angle_alpha 90.00
_cell_angle_beta 90.00
_cell_angle_gamma 90.00
loop_
_atom_site_label
_atom_site_type_symbol
_atom_site_fract_x
_atom_site_fract_y
_atom_site_fract_z
Rb1 Rb 0.000 0.000 0.000
Cu1 Cu 0.000 0.500 0.345
S1 S 0.000 0.000 0.500
S2 S 0.500 0.500 0.217
```

---

7.
A relaxed structure of Rb2Cu2SbS4, computed with PBE.

Computed properties:
For the density of states at the Fermi level, the calculation gives 11.6 states/eV per cell. As for the crystal system: monoclinic. The formation energy (no corrections) is -57 kJ/mol of atoms. The calculation puts the volume at 23.8 Å³ per atom.

CIF file:
```
data_Rb2Cu2SbS4
_chemical_formula_sum 'Rb4 Cu4 Sb2 S8'
_space_group_name_H-M_alt 'C 1 2/m 1'
_space_group_IT_number 12
_space_group_name_Hall '-C 2y'
_cell_length_a 14.862
_cell_length_b 3.932
_cell_length_c 7.822
_cell_angle_alpha 90.00
_cell_angle_beta 110.12
_cell_angle_gamma 90.00
loop_
_atom_site_label
_atom_site_type_symbol
_atom_site_fract_x
_atom_site_fract_y
_atom_site_fract_z
Rb1 Rb 0.134 0.000 0.050
Cu1 Cu 0.189 0.500 0.489
Sb1 Sb 0.000 0.000 0.500
S1 S 0.028 0.500 0.280
S2 S 0.197 0.000 0.663
```

---

8.
A relaxed structure of RbCuSbS3, computed with PBE.

Computed properties:
For the density of states at the Fermi level, the calculation gives 9.2 states/eV per cell. As for the crystal system: monoclinic. The formation energy (no corrections) is -49 kJ/mol of atoms. The calculation puts the volume at 26.5 Å³ per atom.

CIF file:
```
data_RbCuSbS3
_chemical_formula_sum 'Rb2 Cu2 Sb2 S6'
_space_group_name_H-M_alt 'P 1 21/m 1'
_space_group_IT_number 11
_space_group_name_Hall '-P 2yb'
_cell_length_a 9.236
_cell_length_b 3.926
_cell_length_c 9.339
_cell_angle_alpha 90.00
_cell_angle_beta 110.33
_cell_angle_gamma 90.00
loop_
_atom_site_label
_atom_site_type_symbol
_atom_site_fract_x
_atom_site_fract_y
_atom_site_fract_z
Rb1 Rb 0.202 0.250 0.243
Cu1 Cu 0.074 0.250 0.585
Sb1 Sb 0.332 0.750 0.853
S1 S 0.132 0.250 0.852
S2 S 0.191 0.750 0.536
S3 S 0.460 0.750 0.153
```

---

Repeat the third record exactly.
A relaxed structure of RbCu12S6, computed with PBE.

Computed properties:
For the density of states at the Fermi level, the calculation gives 12.7 states/eV per cell. As for the crystal system: trigonal. The formation energy (no corrections) is -18 kJ/mol of atoms. The calculation puts the volume at 17.2 Å³ per atom.

CIF file:
```
data_RbCu12S6
_chemical_formula_sum 'Rb3 Cu36 S18'
_space_group_name_H-M_alt 'R -3 m'
_space_group_IT_number 166
_space_group_name_Hall '-R 3 2"'
_cell_length_a 10.2698
_cell_length_b 10.2698
_cell_length_c 10.7512
_cell_angle_alpha 90.00
_cell_angle_beta 90.00
_cell_angle_gamma 120.00
loop_
_atom_site_label
_atom_site_type_symbol
_atom_site_fract_x
_atom_site_fract_y
_atom_site_fract_z
Rb1 Rb 0.0000 0.0000 0.0000
Cu1 Cu 0.0000 0.2556 0.5000
Cu2 Cu 0.0938 0.1876 0.3013
S1 S 0.0522 0.5261 0.3406
```

---

> Which of these has the highest formation energy (no corrections)?

RbCuS2

---

> Which formula does entry 7 have?

Rb2Cu2SbS4

---

> Among the records above, which one has the lowest formation energy (no corrections)?

Rb2CuS2